Compound: PaTc2P2Pt
Source: Alexandria
Functional: PBE
Structure: optimized geometry

a b c (Å): 4.090 6.857 7.145
angles (deg): 90.00 90.00 90.00
Space group Pmc2_1 (No. 26)
Inequivalent atoms, fractional coordinates:
Pa  0.000  0.149  0.000 (multiplicity 2)
Tc  0.000  0.312  0.593 (multiplicity 2)
Tc  0.500  0.435  0.860 (multiplicity 2)
P  0.000  0.416  0.287 (multiplicity 2)
P  0.500  0.149  0.679 (multiplicity 2)
Pt  0.500  0.153  0.334 (multiplicity 2)

Values from the calculation:
**E_tot**: -8.558 eV/atom
**Calculated formation energy**: -0.7104 eV/atom